(1)
{
  "formula": "AcLa5Pr3",
  "functional": "GGA-PBE",
  "state": "relaxed",
  "cell": [[7.129, 0.000, 0.000], [-3.565, 10.677, -5.899], [0.000, -4.203, 11.344]],
  "species": ["La", "La", "La", "La", "La", "La", "La", "La", "La", "La", "Pr", "Pr", "Pr", "Pr", "Pr", "Pr", "Ac", "Ac"],
  "fractional_positions": [[0.072, 0.350, 0.494], [0.301, 0.000, 0.750], [0.608, 0.215, 0.666], [0.699, 0.000, 0.250], [0.928, 0.650, 0.506], [0.607, 0.215, 0.166], [0.392, 0.785, 0.334], [0.278, 0.350, 0.994], [0.393, 0.785, 0.834], [0.722, 0.650, 0.006], [0.849, 0.489, 0.118], [0.000, 0.000, 0.500], [0.151, 0.511, 0.882], [0.000, 0.000, 0.000], [0.640, 0.489, 0.618], [0.360, 0.511, 0.382], [0.756, 0.000, 0.750], [0.244, 0.000, 0.250]],
  "relative_energy_kj_per_mol_atoms": 0.0,
  "energy_ev_per_cell": -83.7,
  "e_form_ev_per_fu": 1.246,
  "space_group": "C2/c"
}

=====

(2)
{
  "formula": "CaTbSmDy",
  "functional": "GGA-PBE",
  "state": "relaxed",
  "cell": [[-1.960, -1.267, -5.285], [3.157, -3.301, -3.537], [-1.717, -5.377, -1.232]],
  "species": ["Ca", "Tb", "Dy", "Sm"],
  "fractional_positions": [[0.250, 0.250, 0.250], [0.000, 0.000, 0.000], [0.750, 0.750, 0.750], [0.500, 0.500, 0.500]],
  "energy_ev_per_cell": -15.3,
  "e_form_ev_per_fu": 0.607,
  "space_group": "F-43m"
}

=====

(3)
{
  "formula": "Ca3GeI3",
  "functional": "GGA-PBE",
  "state": "relaxed",
  "cell": [[-7.227, -8.072, -1.474], [9.858, -4.263, 2.052], [-3.125, 6.192, 8.454]],
  "species": ["I", "I", "I", "I", "I", "I", "I", "I", "I", "I", "I", "I", "Ca", "Ca", "Ca", "Ca", "Ca", "Ca", "Ca", "Ca", "Ca", "Ca", "Ca", "Ca", "Ge", "Ge", "Ge", "Ge"],
  "fractional_positions": [[0.494, 0.747, 0.997], [0.497, 0.503, 0.250], [0.003, 0.250, 0.997], [0.497, 0.994, 0.747], [0.247, 0.997, 0.994], [0.006, 0.503, 0.753], [0.750, 0.997, 0.503], [0.247, 0.250, 0.753], [0.003, 0.753, 0.506], [0.253, 0.506, 0.503], [0.253, 0.747, 0.250], [0.750, 0.753, 0.747], [0.739, 0.261, 0.750], [0.511, 0.489, 0.750], [0.511, 0.022, 0.261], [0.522, 0.261, 0.011], [0.739, 0.478, 0.489], [0.978, 0.489, 0.239], [0.250, 0.011, 0.489], [0.761, 0.011, 0.022], [0.989, 0.239, 0.478], [0.989, 0.750, 0.011], [0.761, 0.750, 0.239], [0.250, 0.239, 0.261], [0.000, 0.000, 0.250], [0.750, 0.250, 0.250], [0.500, 0.250, 0.500], [0.750, 0.500, 0.000]],
  "energy_ev_per_cell": -94.2,
  "space_group": "I4_132",
  "raw_formation_energy_kcal_per_mol_atoms": -27.29
}

=====

(4)
{
  "formula": "SrZn2CoW",
  "functional": "GGA-PBE",
  "state": "relaxed",
  "cell": [[5.043, 0.000, 0.000], [0.000, 4.504, 0.000], [0.000, 0.000, 5.043]],
  "species": ["Sr", "Co", "W", "Zn", "Zn"],
  "fractional_positions": [[0.500, 0.500, 0.500], [0.000, 0.500, 0.000], [0.000, 0.000, 0.000], [0.500, 0.000, 0.000], [0.000, 0.000, 0.500]],
  "energy_ev_per_cell": -21.3,
  "e_form_ev_per_fu": 2.943,
  "space_group": "P4/mmm"
}

=====

(5)
{
  "formula": "UAlFe",
  "functional": "GGA-PBE",
  "state": "relaxed",
  "cell": [[-4.187, -0.223, 3.868], [-0.845, -5.557, -1.235], [4.292, -1.637, 4.430]],
  "species": ["Al", "Al", "Al", "Al", "U", "U", "U", "U", "Fe", "Fe", "Fe", "Fe"],
  "fractional_positions": [[0.318, 0.880, 0.394], [0.682, 0.120, 0.606], [0.818, 0.620, 0.894], [0.182, 0.380, 0.106], [0.181, 0.385, 0.594], [0.319, 0.885, 0.906], [0.681, 0.115, 0.094], [0.819, 0.615, 0.406], [0.537, 0.620, 0.179], [0.463, 0.380, 0.821], [0.037, 0.880, 0.679], [0.963, 0.120, 0.321]],
  "energy_ev_per_cell": -97.2,
  "e_form_ev_per_fu": -0.815,
  "space_group": "P2_1/c"
}

=====

(6)
{
  "formula": "LiAcErCo",
  "functional": "GGA-PBE",
  "state": "relaxed",
  "cell": [[-2.759, -3.203, 2.827], [-0.764, -4.773, -1.579], [2.266, -3.867, 2.403]],
  "species": ["Ac", "Er", "Li", "Co"],
  "fractional_positions": [[0.750, 0.750, 0.750], [0.250, 0.250, 0.250], [0.000, 0.000, 0.000], [0.500, 0.500, 0.500]],
  "energy_ev_per_cell": -17.4,
  "e_form_ev_per_fu": 0.278,
  "space_group": "F-43m"
}

=====

(7)
{
  "formula": "La5Nd4Ho",
  "functional": "GGA-PBE",
  "state": "relaxed",
  "cell": [[-0.684, 3.563, -0.847], [-3.496, -0.892, -0.928], [-7.556, 4.325, 24.302]],
  "species": ["La", "La", "La", "La", "La", "Nd", "Nd", "Nd", "Nd", "Ho"],
  "fractional_positions": [[0.500, 0.500, 0.097], [0.500, 0.500, 0.500], [0.500, 0.500, 0.298], [0.500, 0.500, 0.702], [0.500, 0.500, 0.903], [0.000, 0.000, 0.601], [0.000, 0.000, 0.399], [0.000, 0.000, 0.197], [0.000, 0.000, 0.803], [0.000, 0.000, 0.000]],
  "relative_energy_kj_per_mol_atoms": 0.0,
  "energy_ev_per_cell": -48.1,
  "e_form_ev_per_fu": 0.193,
  "space_group": "P4/mmm"
}

=====

(8)
{
  "formula": "MnSe2SN",
  "functional": "GGA-PBE",
  "state": "relaxed",
  "cell": [[-3.804, -1.419, -2.831], [0.994, -4.736, 1.038], [-1.971, 0.150, 2.574]],
  "species": ["Mn", "Se", "Se", "S", "N"],
  "fractional_positions": [[0.500, 0.500, 0.500], [0.000, 0.500, 0.000], [0.500, 0.000, 0.000], [0.000, 0.000, 0.000], [0.000, 0.000, 0.500]],
  "relative_energy_kj_per_mol_atoms": 76.7,
  "energy_ev_per_cell": -22.2,
  "space_group": "P4/mmm",
  "raw_formation_energy_kcal_per_mol_atoms": 29.44
}

=====

Q: Which formula does entry 6 have?
A: LiAcErCo

=====

Q: Which formula does entry 8 have?
A: MnSe2SN